# 1
## LiZr2Hg2 (GGA-PBE)

Data for a relaxed structure of LiZr2Hg2.

Unit cell a=8.8082 b=8.8082 c=3.0151 alpha=90.00 beta=90.00 gamma=90.00
Last column: nearest neighbours and their distance in Å.
Space group P4/mbm (No. 127)
Asymmetric unit:
Li 0.0000 0.0000 0.0000 (multiplicity 2)  2 Li 3.02
Zr 0.1229 0.3771 0.0000 (multiplicity 4)  6 Hg 2.95-3.05, 3 Zr 3.02-3.06
Hg 0.1733 0.6733 0.5000 (multiplicity 4)  6 Zr 2.95-3.05, 2 Hg 3.02

## Properties
Total DFT energy (no corrections), eV/atom: -3.8988
Energy above the lowest structure with this stoichiometry, meV/atom: 74
ΔH_f (0 K), meV/atom: 24

---

# 2
## LiZrHg (GGA-PBE)

Data for a relaxed structure of LiZrHg.

Unit cell a=3.3141 b=3.3141 c=10.8800 alpha=90.00 beta=90.00 gamma=90.00
Last column: nearest neighbours and their distance in Å.
Space group P4/nmm (No. 129, origin choice 2)
Asymmetric unit:
Li 0.2500 0.2500 0.0741 (multiplicity 2)  5 Hg 2.77-3.09, 4 Li 2.84
Zr 0.2500 0.2500 0.4049 (multiplicity 2)  8 Zr 3.13-3.31, 4 Hg 3.16
Hg 0.2500 0.2500 0.7897 (multiplicity 2)  5 Li 2.77-3.09

## Properties
Total DFT energy (no corrections), eV/atom: -3.8030
Energy above the lowest structure with this stoichiometry, meV/atom: 0
ΔH_f (0 K), meV/atom: -215

---

Which of these has the highest ΔH_f (0 K)?
LiZr2Hg2